1.
# FeTc2C | Alexandria via LeMat-Bulk | PBE | optimized geometry
# E_tot: -37.16 eV per formula unit
# Formation energy from the elements: 0.3149 eV per atom
# Magnetic moment: 2.741 μB per formula unit
data_FeTc2C
_chemical_formula_sum 'Fe3 Tc6 C3'
_cell_length_a 2.8393
_cell_length_b 2.8393
_cell_length_c 20.8759
_cell_angle_alpha 90.00
_cell_angle_beta 90.00
_cell_angle_gamma 120.00
_symmetry_space_group_name_H-M 'R -3 m'
_symmetry_Int_Tables_number 166
_symmetry_space_group_name_Hall '-R 3 2"'
loop_
_atom_site_label
_atom_site_type_symbol
_atom_site_fract_x
_atom_site_fract_y
_atom_site_fract_z
_atom_site_occupancy
Fe1 Fe 0.0000 0.0000 0.0000 1
Tc1 Tc 0.0000 0.0000 0.2296 1
C1 C 0.0000 0.0000 0.5000 1


2.
# SiGe2O6 | Alexandria via LeMat-Bulk | PBE | optimized geometry
# E_tot: -62.24 eV per formula unit
# Magnetic moment: 0.000 μB per formula unit
# Uncorrected formation energy: -1.98 eV/atom
data_SiGe2O6
_chemical_formula_sum 'Si4 Ge8 O24'
_cell_length_a 10.721
_cell_length_b 11.325
_cell_length_c 5.286
_cell_angle_alpha 90.00
_cell_angle_beta 118.53
_cell_angle_gamma 90.00
_symmetry_space_group_name_H-M 'C 1 2/c 1'
_symmetry_Int_Tables_number 15
loop_
_symmetry_equiv_pos_as_xyz
'x,y,z'
'-x,-y,-z'
'-x,y,-z+1/2'
'x,-y,z+1/2'
'x+1/2,y+1/2,z'
'-x+1/2,-y+1/2,-z'
'-x+1/2,y+1/2,-z+1/2'
'x+1/2,-y+1/2,z+1/2'
loop_
_atom_site_label
_atom_site_type_symbol
_atom_site_fract_x
_atom_site_fract_y
_atom_site_fract_z
_atom_site_occupancy
Si1 Si 0.000 0.239 0.250 1
Ge1 Ge 0.242 0.416 0.369 1
O1 O 0.096 0.156 0.533 1
O2 O 0.102 0.319 0.165 1
O3 O 0.229 0.453 0.681 1


3.
# Ce2DyHo | Alexandria via LeMat-Bulk | PBE | optimized geometry
# E_tot: -20.36 eV per formula unit
# Formation energy from the elements: 0.1722 eV per atom
# Energy above the most stable polymorph in this dataset: 85 meV per atom
# Magnetic moment: 0.000 μB per formula unit
data_Ce2DyHo
_chemical_formula_sum 'Ce4 Dy2 Ho2'
_cell_length_a 6.187
_cell_length_b 6.295
_cell_length_c 6.478
_cell_angle_alpha 96.36
_cell_angle_beta 94.80
_cell_angle_gamma 102.77
_symmetry_space_group_name_H-M 'P -1'
_symmetry_Int_Tables_number 2
loop_
_symmetry_equiv_pos_as_xyz
'x,y,z'
'-x,-y,-z'
loop_
_atom_site_label
_atom_site_type_symbol
_atom_site_fract_x
_atom_site_fract_y
_atom_site_fract_z
_atom_site_occupancy
Ce1 Ce 0.002 0.455 0.241 1
Ce2 Ce 0.195 0.928 0.015 1
Dy1 Dy 0.000 0.000 0.500 1
Dy2 Dy 0.500 0.500 0.000 1
Ho1 Ho 0.454 0.747 0.541 1


4.
# Ca2CdFe | Alexandria via LeMat-Bulk | PBE | optimized geometry
# E_tot: -11.85 eV per formula unit
# Formation energy from the elements: 0.3829 eV per atom
# Magnetic moment: 2.555 μB per formula unit
data_Ca2CdFe
_chemical_formula_sum 'Ca6 Cd3 Fe3'
_cell_length_a 3.6534
_cell_length_b 3.6534
_cell_length_c 28.3092
_cell_angle_alpha 90.00
_cell_angle_beta 90.00
_cell_angle_gamma 120.00
_symmetry_space_group_name_H-M 'R -3 m'
_symmetry_Int_Tables_number 166
_symmetry_space_group_name_Hall '-R 3 2"'
loop_
_atom_site_label
_atom_site_type_symbol
_atom_site_fract_x
_atom_site_fract_y
_atom_site_fract_z
_atom_site_occupancy
Ca1 Ca 0.0000 0.0000 0.2419 1
Cd1 Cd 0.0000 0.0000 0.0000 1
Fe1 Fe 0.0000 0.0000 0.5000 1


5.
# KBa2ZnCu | Alexandria via LeMat-Bulk | PBE | optimized geometry
# E_tot: -9.81 eV per formula unit
# Formation energy from the elements: 0.1003 eV per atom
# Magnetic moment: 0.682 μB per formula unit
data_KBa2ZnCu
_chemical_formula_sum 'K1 Ba2 Zn1 Cu1'
_cell_length_a 6.452
_cell_length_b 6.452
_cell_length_c 4.946
_cell_angle_alpha 90.00
_cell_angle_beta 90.00
_cell_angle_gamma 90.00
_symmetry_space_group_name_H-M 'P 4/m m m'
_symmetry_Int_Tables_number 123
_symmetry_space_group_name_Hall '-P 4 2'
loop_
_atom_site_label
_atom_site_type_symbol
_atom_site_fract_x
_atom_site_fract_y
_atom_site_fract_z
_atom_site_occupancy
K1 K 0.000 0.000 0.000 1
Ba1 Ba 0.000 0.500 0.500 1
Zn1 Zn 0.500 0.500 0.000 1
Cu1 Cu 0.500 0.500 0.500 1


6.
# ErZnPd | Alexandria via LeMat-Bulk | PBE | optimized geometry
# E_tot: -12.75 eV per formula unit
# Formation energy from the elements: -0.5718 eV per atom
# Magnetic moment: 0.000 μB per formula unit
data_ErZnPd
_chemical_formula_sum 'Er4 Zn4 Pd4'
_cell_length_a 6.428
_cell_length_b 6.428
_cell_length_c 6.428
_cell_angle_alpha 90.00
_cell_angle_beta 90.00
_cell_angle_gamma 90.00
_symmetry_space_group_name_H-M 'F -4 3 m'
_symmetry_Int_Tables_number 216
_symmetry_space_group_name_Hall 'F -4 2 3'
loop_
_atom_site_label
_atom_site_type_symbol
_atom_site_fract_x
_atom_site_fract_y
_atom_site_fract_z
_atom_site_occupancy
Er1 Er 0.000 0.000 0.000 1
Zn1 Zn 0.000 0.000 0.500 1
Pd1 Pd 0.250 0.250 0.250 1


| no. | Fermi-level density of states (states/eV per cell) |
| --- | --- |
| 1 | 12.6 |
| 2 | 0.0 |
| 3 | 20.3 |
| 4 | 20.1 |
| 5 | 5.2 |
| 6 | 5.8 |